This record from Alexandria via LeMat-Bulk describes a geometry-optimized V5O7 structure. The functional is PBE with a Hubbard U.

The calculation puts the total energy at -187.425 eV/cell. The total moment comes out at 0.917 μB per atom.

a = 5.341 Å, b = 5.341 Å, c = 18.925 Å
α = 90.00°, β = 90.00°, γ = 147.05°
Atoms (fractional coordinates):
V  0.000  0.000  0.000
V  0.000  0.000  0.500
V  0.267  0.733  0.576
V  0.267  0.733  0.924
V  0.476  0.524  0.158
V  0.476  0.524  0.342
V  0.524  0.476  0.658
V  0.524  0.476  0.842
V  0.733  0.267  0.076
V  0.733  0.267  0.424
O  0.099  0.901  0.103
O  0.099  0.901  0.397
O  0.148  0.852  0.653
O  0.148  0.852  0.847
O  0.353  0.647  0.026
O  0.353  0.647  0.474
O  0.483  0.517  0.750
O  0.517  0.483  0.250
O  0.647  0.353  0.526
O  0.647  0.353  0.974
O  0.852  0.148  0.153
O  0.852  0.148  0.347
O  0.901  0.099  0.603
O  0.901  0.099  0.897